[1]
The following is a PBE calculation of a relaxed structure of BaNiSeN2, from Alexandria.

Computed properties:
The value obtained for the total moment is 3.08 μB/cell. Its formation energy from raw total energies is 0.56 eV/atom. As for the total energy: -5.008 eV per atom.

abc: 4.245 4.245 4.897
angles: 90.00 90.00 90.00
Space group P4/mmm (No. 123)
One atom of each set of equivalent atoms:
Ba 0.000 0.000 0.000 (multiplicity 1)
Ni 0.500 0.500 0.500 (multiplicity 1)
Se 0.500 0.500 0.000 (multiplicity 1)
N 0.000 0.500 0.500 (multiplicity 2)

***

[2]
The following is a PBE calculation of a relaxed structure of BaNiSeN2, from Alexandria.

Computed properties:
The value obtained for the total moment is 6.03 μB/cell. Its formation energy from raw total energies is 1.98 eV/atom. As for the total energy: -3.588 eV per atom.

abc: 4.926 4.926 6.453
angles: 90.00 90.00 90.00
Space group P4/mmm (No. 123)
One atom of each set of equivalent atoms:
Ba 0.000 0.000 0.000 (multiplicity 1)
Ni 0.500 0.500 0.500 (multiplicity 1)
Se 0.000 0.000 0.500 (multiplicity 1)
N 0.000 0.500 0.000 (multiplicity 2)

***

[3]
The following is a PBE calculation of a relaxed structure of BaNiSe2N, from Alexandria.

Computed properties:
The value obtained for the total moment is 4.94 μB/cell. Its formation energy from raw total energies is 1.41 eV/atom. As for the total energy: -3.185 eV per atom.

abc: 6.137 6.137 5.133
angles: 90.00 90.00 90.00
Space group P4/mmm (No. 123)
One atom of each set of equivalent atoms:
Ba 0.000 0.000 0.000 (multiplicity 1)
Ni 0.500 0.500 0.500 (multiplicity 1)
Se 0.000 0.500 0.000 (multiplicity 2)
N 0.000 0.000 0.500 (multiplicity 1)

***

[4]
The following is a PBE calculation of a relaxed structure of BaNiSe2N, from Alexandria.

Computed properties:
The value obtained for the total moment is 0.00 μB/cell. Its formation energy from raw total energies is -0.27 eV/atom. As for the total energy: -4.874 eV per atom.

abc: 5.397 5.397 3.588
angles: 90.00 90.00 90.00
Space group P4/mmm (No. 123)
One atom of each set of equivalent atoms:
Ba 0.000 0.000 0.000 (multiplicity 1)
Ni 0.500 0.500 0.500 (multiplicity 1)
Se 0.000 0.500 0.500 (multiplicity 2)
N 0.500 0.500 0.000 (multiplicity 1)

***

[5]
The following is a PBE calculation of a relaxed structure of Ba2Ni2Sn2N, from Alexandria.

Computed properties:
The value obtained for the total moment is 0.00 μB/cell. Its formation energy from raw total energies is -0.50 eV/atom. As for the total energy: -5.033 eV per atom.

abc: 12.683 4.286 7.845
angles: 90.00 125.35 90.00
Space group C2/m (No. 12)
One atom of each set of equivalent atoms:
Ba 0.058 0.000 0.313 (multiplicity 4)
Ni 0.158 0.500 0.728 (multiplicity 4)
Sn 0.203 0.500 0.101 (multiplicity 4)
N 0.000 0.500 0.500 (multiplicity 2)

***

[6]
The following is a PBE calculation of a relaxed structure of BaTaNiN3, from Alexandria.

Computed properties:
The value obtained for the total moment is 1.78 μB/cell. Its formation energy from raw total energies is -0.57 eV/atom. As for the total energy: -7.994 eV per atom.

abc: 7.206 3.303 7.857
angles: 90.00 110.31 90.00
Space group P2_1/m (No. 11)
One atom of each set of equivalent atoms:
Ba 0.225 0.250 0.246 (multiplicity 2)
Ta 0.321 0.750 0.863 (multiplicity 2)
Ni 0.087 0.250 0.601 (multiplicity 2)
N 0.143 0.250 0.870 (multiplicity 2)
N 0.201 0.750 0.557 (multiplicity 2)
N 0.469 0.750 0.137 (multiplicity 2)

***

[7]
The following is a PBE calculation of a relaxed structure of BaNiTeN2, from Alexandria.

Computed properties:
The value obtained for the total moment is 0.00 μB/cell. Its formation energy from raw total energies is 0.92 eV/atom. As for the total energy: -4.576 eV per atom.

abc: 4.403 4.403 4.907
angles: 90.00 90.00 90.00
Space group P4/mmm (No. 123)
One atom of each set of equivalent atoms:
Ba 0.000 0.000 0.000 (multiplicity 1)
Ni 0.500 0.500 0.500 (multiplicity 1)
Te 0.500 0.500 0.000 (multiplicity 1)
N 0.000 0.500 0.500 (multiplicity 2)

***

[8]
The following is a PBE calculation of a relaxed structure of BaNiTeN2, from Alexandria.

Computed properties:
The value obtained for the total moment is 3.75 μB/cell. Its formation energy from raw total energies is 1.92 eV/atom. As for the total energy: -3.575 eV per atom.

abc: 4.503 4.503 7.227
angles: 90.00 90.00 90.00
Space group P4/mmm (No. 123)
One atom of each set of equivalent atoms:
Ba 0.000 0.000 0.000 (multiplicity 1)
Ni 0.500 0.500 0.500 (multiplicity 1)
Te 0.000 0.000 0.500 (multiplicity 1)
N 0.000 0.500 0.000 (multiplicity 2)

***

[9]
The following is a PBE calculation of a relaxed structure of Ba2NiTeN, from Alexandria.

Computed properties:
The value obtained for the total moment is 0.38 μB/cell. Its formation energy from raw total energies is -0.82 eV/atom. As for the total energy: -5.041 eV per atom.

abc: 5.913 5.913 3.743
angles: 90.00 90.00 90.00
Space group P4/mmm (No. 123)
One atom of each set of equivalent atoms:
Ba 0.000 0.500 0.000 (multiplicity 2)
Ni 0.000 0.000 0.500 (multiplicity 1)
Te 0.500 0.500 0.500 (multiplicity 1)
N 0.000 0.000 0.000 (multiplicity 1)

***

[10]
The following is a PBE calculation of a relaxed structure of BaTh2NiN4, from Alexandria.

Computed properties:
The value obtained for the total moment is 0.00 μB/cell. Its formation energy from raw total energies is -1.04 eV/atom. As for the total energy: -8.020 eV per atom.

abc: 3.733 12.179 12.250
angles: 90.00 90.00 90.00
Space group Cmcm (No. 63)
One atom of each set of equivalent atoms:
Ba 0.000 0.106 0.250 (multiplicity 4)
Th 0.000 0.366 0.055 (multiplicity 8)
Ni 0.000 0.180 0.750 (multiplicity 4)
N 0.000 0.000 0.000 (multiplicity 4)
N 0.000 0.254 0.606 (multiplicity 8)
N 0.000 0.378 0.250 (multiplicity 4)

***

[11]
The following is a PBE calculation of a relaxed structure of Ba2TlNiN, from Alexandria.

Computed properties:
The value obtained for the total moment is 0.00 μB/cell. Its formation energy from raw total energies is -0.32 eV/atom. As for the total energy: -4.379 eV per atom.

abc: 6.065 6.065 3.606
angles: 90.00 90.00 90.00
Space group P4/mmm (No. 123)
One atom of each set of equivalent atoms:
Ba 0.000 0.500 0.000 (multiplicity 2)
Tl 0.000 0.000 0.500 (multiplicity 1)
Ni 0.500 0.500 0.500 (multiplicity 1)
N 0.500 0.500 0.000 (multiplicity 1)

***

[12]
The following is a PBE calculation of a relaxed structure of Ba2ZnNiN, from Alexandria.

Computed properties:
The value obtained for the total moment is 0.00 μB/cell. Its formation energy from raw total energies is -0.28 eV/atom. As for the total energy: -4.124 eV per atom.

abc: 5.848 5.848 3.609
angles: 90.00 90.00 90.00
Space group P4/mmm (No. 123)
One atom of each set of equivalent atoms:
Ba 0.000 0.500 0.000 (multiplicity 2)
Zn 0.000 0.000 0.500 (multiplicity 1)
Ni 0.500 0.500 0.500 (multiplicity 1)
N 0.500 0.500 0.000 (multiplicity 1)

***

- Which formula does entry 7 have?
  BaNiTeN2

***

- Look up the formation energy from raw total energies of the twelfth one.
  -0.28 eV/atom

***

Please write out number 4 again, unchanged.
The following is a PBE calculation of a relaxed structure of BaNiSe2N, from Alexandria.

Computed properties:
The value obtained for the total moment is 0.00 μB/cell. Its formation energy from raw total energies is -0.27 eV/atom. As for the total energy: -4.874 eV per atom.

abc: 5.397 5.397 3.588
angles: 90.00 90.00 90.00
Space group P4/mmm (No. 123)
One atom of each set of equivalent atoms:
Ba 0.000 0.000 0.000 (multiplicity 1)
Ni 0.500 0.500 0.500 (multiplicity 1)
Se 0.000 0.500 0.500 (multiplicity 2)
N 0.500 0.500 0.000 (multiplicity 1)